The following is a DFT calculation (PBE-GGA) of an optimized crystal structure of Ta2RePt.

Output
The calculation puts the energy at -43.30 eV per cell.

a b c (Å): 2.8009 2.8009 8.4490
angles (deg): 90.00 90.00 90.00
Fractional coordinates of all 4 atoms:
Pt  0.5000  0.5000  0.2500
Re  0.5000  0.5000  0.7500
Ta  0.0000  0.0000  0.0038
Ta  0.0000  0.0000  0.4962